Record 1
A plane-wave DFT calculation with GGA-PBE was carried out for ZnTe2Ru after structural relaxation.

a = 3.2251 Å, b = 3.5989 Å, c = 7.6263 Å
α = 90.00°, β = 90.00°, γ = 90.00°
Last column: nearest neighbours and their distance in Å.
Sites, in units of the cell vectors:
Ru1 0.5000 0.5000 0.7170  4 Zn 2.77, 5 Te 2.80-2.85
Te1 0.0000 0.0000 0.9021  1 Zn 2.78, 4 Ru 2.80
Te2 0.5000 0.5000 0.3428  4 Zn 2.84, 1 Ru 2.85
Zn1 0.0000 0.0000 0.5382  4 Ru 2.77, 5 Te 2.78-2.84

Summary:
The total energy is -4.140 eV/atom. Its formation energy from raw total energies is 0.272 eV per formula unit. The space-group type is Pmm2 (25). The value obtained for the total magnetic moment is 0.00 μB per formula unit.

Record 2
A plane-wave DFT calculation with GGA-PBE was carried out for ZnTeRu2 after structural relaxation.

a = 4.4100 Å, b = 4.4100 Å, c = 3.2079 Å
α = 90.00°, β = 90.00°, γ = 90.00°
Last column: nearest neighbours and their distance in Å.
Sites, in units of the cell vectors:
Ru1 0.5000 0.5000 0.0000  4 Te 2.73, 4 Zn 2.73
Ru2 0.0000 0.0000 0.0000  4 Te 2.73, 4 Zn 2.73
Zn1 0.0000 0.5000 0.5000  8 Ru 2.73
Te1 0.5000 0.0000 0.5000  8 Ru 2.73

Summary:
The total energy is -5.611 eV/atom. Its formation energy from raw total energies is 0.522 eV per formula unit. Its distance to the lowest polymorph of the same formula is 74 meV/atom. The space-group type is P4/mmm (123). The value obtained for the total magnetic moment is 0.00 μB per formula unit.